# HoTm4Pu (GGA-PBE, relaxed)
# Volume (Å³/f.u.): 209.6
# Electronic total energy (eV for the cell shown): -129.577
# Density of states at the Fermi level (states/eV/cell): 33.1
# Formation enthalpy at 0 K (eV/atom): 0.73
# Energy above the most stable polymorph in this dataset (meV per atom): 693
# Spin magnetization (μB per cell): 26.063
data_HoTm4Pu
_cell_length_a 11.239
_cell_length_b 11.239
_cell_length_c 6.639
_cell_angle_alpha 90.00
_cell_angle_beta 90.00
_cell_angle_gamma 90.00
_symmetry_space_group_name_H-M 'I 41 m d'
_symmetry_Int_Tables_number 109
_symmetry_space_group_name_Hall 'I 4bw -2'
loop_
_atom_site_label
_atom_site_type_symbol
_atom_site_fract_x
_atom_site_fract_y
_atom_site_fract_z
_atom_site_occupancy
Ho1 Ho 0.000 0.000 0.000 1
Tm1 Tm 0.000 0.228 0.279 1
Tm2 Tm 0.000 0.247 0.768 1
Pu1 Pu 0.000 0.000 0.522 1

# Ho12Tm7Pu (GGA-PBE, relaxed)
# Volume (Å³/f.u.): 617.5
# Electronic total energy (eV for the cell shown): -295.070
# Density of states at the Fermi level (states/eV/cell): 106.7
# Formation enthalpy at 0 K (eV/atom): 0.11
# Energy above the most stable polymorph in this dataset (meV per atom): 0
# Spin magnetization (μB per cell): 16.993
data_Ho12Tm7Pu
_cell_length_a 13.1194
_cell_length_b 13.1194
_cell_length_c 12.4281
_cell_angle_alpha 90.00
_cell_angle_beta 90.00
_cell_angle_gamma 120.00
_symmetry_space_group_name_H-M 'R -3 m'
_symmetry_Int_Tables_number 166
_symmetry_space_group_name_Hall '-R 3 2"'
loop_
_atom_site_label
_atom_site_type_symbol
_atom_site_fract_x
_atom_site_fract_y
_atom_site_fract_z
_atom_site_occupancy
Ho1 Ho 0.0000 0.2607 0.0000 1
Ho2 Ho 0.0892 0.1783 0.7655 1
Tm1 Tm 0.0000 0.0000 0.0000 1
Tm2 Tm 0.0422 0.5211 0.1232 1
Pu1 Pu 0.0000 0.0000 0.5000 1

# Ho8Tm2Pu (GGA-PBE, relaxed)
# Volume (Å³/f.u.): 353.4
# Electronic total energy (eV for the cell shown): -115.554
# Density of states at the Fermi level (states/eV/cell): 45.6
# Formation enthalpy at 0 K (eV/atom): 0.19
# Energy above the most stable polymorph in this dataset (meV per atom): 65
# Spin magnetization (μB per cell): 11.755
data_Ho8Tm2Pu
_cell_length_a 18.758
_cell_length_b 6.778
_cell_length_c 5.564
_cell_angle_alpha 90.00
_cell_angle_beta 92.37
_cell_angle_gamma 90.00
_symmetry_space_group_name_H-M 'C 1 2/m 1'
_symmetry_Int_Tables_number 12
_symmetry_space_group_name_Hall '-C 2y'
loop_
_atom_site_label
_atom_site_type_symbol
_atom_site_fract_x
_atom_site_fract_y
_atom_site_fract_z
_atom_site_occupancy
Ho1 Ho 0.047 0.000 0.239 1
Ho2 Ho 0.132 0.235 0.737 1
Ho3 Ho 0.185 0.500 0.238 1
Tm1 Tm 0.217 0.000 0.248 1
Pu1 Pu 0.000 0.500 0.000 1

What is the energy above the most stable polymorph in this dataset in the second record? 0 meV per atom

The lowest energy above the most stable polymorph in this dataset belongs to which entry? Ho12Tm7Pu

Copy entry 1 word for word.
# HoTm4Pu (GGA-PBE, relaxed)
# Volume (Å³/f.u.): 209.6
# Electronic total energy (eV for the cell shown): -129.577
# Density of states at the Fermi level (states/eV/cell): 33.1
# Formation enthalpy at 0 K (eV/atom): 0.73
# Energy above the most stable polymorph in this dataset (meV per atom): 693
# Spin magnetization (μB per cell): 26.063
data_HoTm4Pu
_cell_length_a 11.239
_cell_length_b 11.239
_cell_length_c 6.639
_cell_angle_alpha 90.00
_cell_angle_beta 90.00
_cell_angle_gamma 90.00
_symmetry_space_group_name_H-M 'I 41 m d'
_symmetry_Int_Tables_number 109
_symmetry_space_group_name_Hall 'I 4bw -2'
loop_
_atom_site_label
_atom_site_type_symbol
_atom_site_fract_x
_atom_site_fract_y
_atom_site_fract_z
_atom_site_occupancy
Ho1 Ho 0.000 0.000 0.000 1
Tm1 Tm 0.000 0.228 0.279 1
Tm2 Tm 0.000 0.247 0.768 1
Pu1 Pu 0.000 0.000 0.522 1

What did the third record say?
# Ho8Tm2Pu (GGA-PBE, relaxed)
# Volume (Å³/f.u.): 353.4
# Electronic total energy (eV for the cell shown): -115.554
# Density of states at the Fermi level (states/eV/cell): 45.6
# Formation enthalpy at 0 K (eV/atom): 0.19
# Energy above the most stable polymorph in this dataset (meV per atom): 65
# Spin magnetization (μB per cell): 11.755
data_Ho8Tm2Pu
_cell_length_a 18.758
_cell_length_b 6.778
_cell_length_c 5.564
_cell_angle_alpha 90.00
_cell_angle_beta 92.37
_cell_angle_gamma 90.00
_symmetry_space_group_name_H-M 'C 1 2/m 1'
_symmetry_Int_Tables_number 12
_symmetry_space_group_name_Hall '-C 2y'
loop_
_atom_site_label
_atom_site_type_symbol
_atom_site_fract_x
_atom_site_fract_y
_atom_site_fract_z
_atom_site_occupancy
Ho1 Ho 0.047 0.000 0.239 1
Ho2 Ho 0.132 0.235 0.737 1
Ho3 Ho 0.185 0.500 0.238 1
Tm1 Tm 0.217 0.000 0.248 1
Pu1 Pu 0.000 0.500 0.000 1